Here is a geometry-optimized K2NaCoO2 structure from Alexandria via LeMat-Bulk. Energies are from GGA+U.

abc: 3.9613 5.7123 10.5177
angles: 90.00 90.00 90.00
Closest atoms and distances in Å follow each position.
Fractional positions:
K  0.5000  0.8840  0.7575  3 O 2.64-2.65
K  0.0000  0.6160  0.2575  3 O 2.64-2.65
K  0.0000  0.3840  0.7425  3 O 2.64-2.65
K  0.5000  0.1160  0.2425  3 O 2.64-2.65
O  0.0000  0.2600  0.0956  1 Co 1.79
O  0.0000  0.7400  0.9044  1 Co 1.79
O  0.5000  0.7600  0.4044  1 Co 1.79
O  0.5000  0.2400  0.5956  1 Co 1.79
Co  0.5000  0.5000  0.5000  2 O 1.79
Co  0.0000  0.0000  0.0000  2 O 1.79
Na  0.5000  0.5000  0.0000  4 O 2.61
Na  0.0000  0.0000  0.5000  4 O 2.61

Properties
As for the space group: Pnnm, No. 58. For the total energy, the calculation gives -4.104 eV per atom. The crystal system is orthorhombic.